[1]
First-principles (PBE) data for a geometry-optimized Al2FeOs structure, as listed in Alexandria via LeMat-Bulk.

CIF file:
```
data_Al2FeOs
_chemical_formula_sum 'Al2 Fe1 Os1'
_space_group_name_H-M_alt 'P 1'
_space_group_IT_number 1
_cell_length_a 3.116
_cell_length_b 4.339
_cell_length_c 3.989
_cell_angle_alpha 90.00
_cell_angle_beta 90.00
_cell_angle_gamma 90.00
loop_
_space_group_symop_operation_xyz
'x,y,z'
loop_
_atom_site_label
_atom_site_fract_x
_atom_site_fract_y
_atom_site_fract_z
Al1 0.500 0.500 0.000
Al2 0.000 0.000 0.000
Os1 0.000 0.500 0.500
Fe1 0.500 0.000 0.500
```

Properties
Fermi-level density of states	2.60	states/eV/f.u.
spin magnetization	2.12	μB per cell

[2]
First-principles (PBE) data for a geometry-optimized AlFe2Os structure, as listed in Alexandria via LeMat-Bulk.

CIF file:
```
data_AlFe2Os
_chemical_formula_sum 'Al1 Fe2 Os1'
_space_group_name_H-M_alt 'P 1'
_space_group_IT_number 1
_cell_length_a 3.861
_cell_length_b 3.678
_cell_length_c 3.678
_cell_angle_alpha 90.00
_cell_angle_beta 90.00
_cell_angle_gamma 90.00
loop_
_space_group_symop_operation_xyz
'x,y,z'
loop_
_atom_site_label
_atom_site_fract_x
_atom_site_fract_y
_atom_site_fract_z
Al1 0.500 0.000 0.500
Fe1 0.000 0.500 0.500
Fe2 0.000 0.000 0.000
Os1 0.500 0.500 0.000
```

Properties
Fermi-level density of states	2.85	states/eV/f.u.
spin magnetization	5.48	μB per cell

Number 1: formation energy -0.19 eV per atom, raw total energy -27.9 eV for the cell shown. Number 2: formation energy -0.07 eV per atom, raw total energy -32.2 eV for the cell shown.